[1]
4
Lattice="4.8627 0.0000 0.0000 2.4314 4.2112 0.0000 2.4314 1.4037 5.2654" Properties=species:S:1:pos:R:3 comment="AcSnGe2 GGA-PBE optimized geometry" total_magnetization_mub_per_cell=0.00 volume_a3_per_fu=107.8 formation_energy_mev_per_atom=-316.3 de_polymorph_ev_per_fu=0.33 density_g_cm3=7.56 n_ef_per_ev_cell=3.1 pbc="T T T"
Ge 7.2941 4.2112 4.5141
Sn 0.0000 0.0000 0.0000
Ac 4.8627 2.8075 2.6327
Ge 2.4314 1.4037 0.7514

---

[2]
10
Lattice="5.7140 0.5802 -1.1808 0.5162 5.7172 -1.0263 -2.4749 -2.3244 7.7786" Properties=species:S:1:pos:R:3 comment="CaH2Br2 GGA-PBE optimized geometry" total_magnetization_mub_per_cell=0.00 volume_a3_per_fu=112.2 energy_ev_per_atom=-3.592 density_g_cm3=2.99 n_ef_per_ev_cell=0.0 pbc="T T T"
Ca 3.2311 3.1015 -1.1164
H 0.9656 2.1756 2.6593
Br 2.4161 0.3455 -0.0221
Ca 3.0611 0.7495 2.7599
Br 0.3506 -0.1026 3.9623
H 1.4745 2.6764 2.3986
Br 3.8761 3.5054 1.6657
H 5.3266 1.6754 -1.0158
Br 3.4667 1.6291 5.4598
H 4.8177 1.1745 -0.7550

---

[3]
8
Lattice="4.4799 0.0000 0.0000 0.0000 4.6516 1.8238 -2.2399 3.2112 12.9526" Properties=species:S:1:pos:R:3 comment="Pm4YPb3 GGA-PBE optimized geometry" total_magnetization_mub_per_cell=0.00 volume_a3_per_fu=243.7 formation_energy_mev_per_atom=-387.3 density_g_cm3=8.79 n_ef_per_ev_cell=9.1 pbc="T T T"
Pb 2.2399 2.3258 0.9119
Pm 0.0000 1.4790 3.3650
Pm 2.2399 5.0399 7.9590
Pm 2.2399 6.3839 11.4113
Y 0.0000 0.0000 0.0000
Pb 2.2399 3.7392 4.4897
Pm 0.0000 2.8229 6.8173
Pb 0.0000 4.1237 10.2867

---

[4]
4
Lattice="-1.8867 -1.5589 2.3711 2.6367 -2.0156 0.7729 2.5672 5.5379 5.6836" Properties=species:S:1:pos:R:3 comment="Th2TcCl GGA-PBE optimized geometry" total_magnetization_mub_per_cell=0.00 volume_a3_per_fu=96.9 formation_energy_uncorrected_ev_per_atom=-0.664 de_polymorph_ev_per_fu=0.24 density_g_cm3=10.24 n_ef_per_ev_cell=2.9 pbc="T T T"
Th 0.5619 1.2120 1.2439
Tc 0.3750 -1.7872 1.5720
Cl 1.6586 0.9817 4.4139
Th 2.0053 4.3259 4.4397

---

[5]
4
Lattice="-2.8940 4.3289 0.7482 -4.6895 -0.8900 2.2114 4.9506 -1.3915 1.1086" Properties=species:S:1:pos:R:3 comment="ZrAl2Au GGA-PBE optimized geometry" total_magnetization_mub_per_cell=0.00 volume_a3_per_fu=72.0 formation_energy_mev_per_atom=-437.6 density_g_cm3=7.89 n_ef_per_ev_cell=1.9 pbc="T T T"
Au -3.7927 1.7199 1.4802
Al -0.8668 2.3281 1.6680
Al -7.5830 3.4387 2.9594
Zr -1.7656 -0.2809 2.4000

---

[6]
8
Lattice="4.9543 0.0000 0.0000 0.0000 4.9543 0.0000 2.4771 2.4771 9.2872" Properties=species:S:1:pos:R:3 comment="LaMgAg2 GGA-PBE optimized geometry" total_magnetization_mub_per_cell=0.00 volume_a3_per_fu=114.0 formation_energy_mev_per_atom=131.3 density_g_cm3=5.52 n_ef_per_ev_cell=8.5 pbc="T T T"
Ag 6.1928 5.5747 6.9654
Mg 2.4771 4.9543 4.6436
Mg 2.4771 2.4771 0.0000
Ag 1.8567 3.7157 2.3218
Ag 3.0976 1.2386 2.3218
Ag 3.7157 4.3338 6.9654
La 4.9543 2.4771 4.6436
La 0.0000 0.0000 0.0000